Here is a relaxed structure of Cs2Gd4Cu4Te9 from OQMD. Energies are from GGA-PBE.

Cell lengths 8.1325, 8.1325, 17.8593 Å; angles 107.40, 107.40, 31.54 degrees
Positions (direct):
Gd  0.2719  0.2719  0.4003
Gd  0.8466  0.8466  0.9444
Gd  0.7281  0.7281  0.5997
Gd  0.1534  0.1534  0.0556
Te  0.1563  0.1563  0.2270
Te  0.5000  0.5000  0.0000
Te  0.1018  0.1018  0.6271
Te  0.2040  0.2040  0.8983
Te  0.3649  0.3649  0.5779
Te  0.6351  0.6351  0.4221
Te  0.7960  0.7960  0.1017
Te  0.8437  0.8437  0.7730
Te  0.8982  0.8982  0.3729
Cs  0.4675  0.4675  0.2260
Cs  0.5325  0.5325  0.7740
Cu  0.9223  0.9223  0.5252
Cu  0.7484  0.7484  0.2356
Cu  0.0777  0.0777  0.4748
Cu  0.2516  0.2516  0.7644

Computed properties:
Spin magnetization = 0.00 μB/cell
E = -4.32 eV/atom

Here is a relaxed structure of Lu4O5 from OQMD. Energies are from GGA-PBE.

Cell lengths 9.0435, 3.8246, 3.8246 Å; angles 90.00, 90.00, 90.00 degrees
Site moments in Bohr magnetons follow the coordinates.
Positions (direct):
O  0.8534  0.0000  0.5000  0.02
O  0.5000  0.5000  0.5000  0.04
O  0.1466  0.0000  0.5000  0.02
O  0.8534  0.5000  0.0000  0.01
O  0.1466  0.5000  0.0000  0.01
Lu  0.0000  0.0000  0.0000  0.01
Lu  0.7575  0.5000  0.5000  0.05
Lu  0.2425  0.5000  0.5000  0.05
Lu  0.5000  0.0000  0.0000  0.49

Computed properties:
Spin magnetization = 1.10 μB/cell
E = -7.71 eV/atom

Here is a relaxed structure of CdHgNO from OQMD. Energies are from GGA-PBE.

Cell lengths 4.7809, 4.7809, 4.8006 Å; angles 90.00, 90.00, 90.00 degrees
Positions (direct):
O  0.0000  0.0000  0.0000
O  0.5000  0.5000  0.0000
Hg  0.5000  0.0000  0.9984
Hg  0.0000  0.5000  0.0016
N  0.0000  0.5000  0.5025
N  0.5000  0.0000  0.4975
Cd  0.5000  0.5000  0.5000
Cd  0.0000  0.0000  0.5000

Computed properties:
Relative energy among the computed polymorphs = 64 meV/atom

Here is a relaxed structure of Na2Ir from OQMD. Energies are from GGA-PBE.

Cell lengths 4.8364, 4.8364, 4.8364 Å; angles 60.00, 60.00, 60.00 degrees
Site moments in Bohr magnetons follow the coordinates.
Positions (direct):
Na  0.7500  0.7500  0.7500  -0.01
Na  0.2500  0.2500  0.2500  -0.01
Ir  0.0000  0.0000  0.0000  1.04

Computed properties:
Spin magnetization = 1.00 μB/cell
E = -2.83 eV/atom